## Pm2MgSe4 (PBE-GGA)

Data for a geometry-optimized Pm2MgSe4 structure.

Unit cell a=7.655 b=7.655 c=7.655 alpha=110.95 beta=110.95 gamma=106.56
Fractional coordinates of all 14 atoms:
Pm1 0.002 0.625 0.877
Pm2 0.375 0.252 0.377
Pm3 0.748 0.125 0.123
Pm4 0.875 0.998 0.623
Mg1 0.250 0.750 0.500
Mg2 0.500 0.500 0.000
Se1 0.005 0.876 0.265
Se2 0.124 0.389 0.128
Se3 0.139 0.374 0.628
Se4 0.260 0.995 0.872
Se5 0.490 0.861 0.235
Se6 0.611 0.740 0.735
Se7 0.626 0.255 0.765
Se8 0.745 0.510 0.372

Summary:
ΔE to the lowest computed polymorph	35	meV/atom
symmetry	No. 122
E_form (uncorrected)	-11.483	eV/f.u.


## LiAl (PBE-GGA)

Data for a geometry-optimized LiAl structure.

Unit cell a=2.823 b=2.823 c=9.926 alpha=90.00 beta=90.00 gamma=120.00
Fractional coordinates of all 4 atoms:
Li1 0.333 0.667 0.000
Li2 0.667 0.333 0.500
Al1 0.333 0.667 0.730
Al2 0.667 0.333 0.230

Summary:
formation energy from the elements	0.07	eV/atom
symmetry	No. 186


## Cr2Cu2Br (PBE-GGA)

Data for a geometry-optimized Cr2Cu2Br structure.

Unit cell a=7.254 b=7.254 c=3.004 alpha=90.00 beta=90.00 gamma=90.00
Fractional coordinates of all 10 atoms:
Cr1 0.091 0.409 0.000
Cr2 0.409 0.909 0.000
Cr3 0.591 0.091 0.000
Cr4 0.909 0.591 0.000
Cu1 0.191 0.691 0.500
Cu2 0.309 0.191 0.500
Cu3 0.691 0.809 0.500
Cu4 0.809 0.309 0.500
Br1 0.000 0.000 0.500
Br2 0.500 0.500 0.500

Summary:
ΔE to the lowest computed polymorph	168	meV/atom
symmetry	No. 127
E_form (uncorrected)	3.807	eV/f.u.


## KAsW2 (PBE-GGA)

Data for a geometry-optimized KAsW2 structure.

Unit cell a=2.672 b=5.469 c=5.360 alpha=90.00 beta=91.25 gamma=90.00
Fractional coordinates of all 4 atoms:
K1 0.000 0.000 0.000
As1 0.500 0.000 0.500
W1 0.356 0.500 0.266
W2 0.644 0.500 0.734

Summary:
formation energy from the elements	1.16	eV/atom
symmetry	No. 10


## ErTm5Hg3 (PBE-GGA)

Data for a geometry-optimized ErTm5Hg3 structure.

Unit cell a=8.961 b=8.961 c=6.816 alpha=90.00 beta=90.00 gamma=120.00
Fractional coordinates of all 18 atoms:
Er1 0.000 0.000 0.000
Er2 0.000 0.000 0.500
Tm1 0.000 0.334 0.250
Tm2 0.000 0.666 0.750
Tm3 0.333 0.667 0.000
Tm4 0.333 0.667 0.500
Tm5 0.334 0.000 0.250
Tm6 0.334 0.334 0.750
Tm7 0.666 0.000 0.750
Tm8 0.666 0.666 0.250
Tm9 0.667 0.333 0.000
Tm10 0.667 0.333 0.500
Hg1 0.000 0.333 0.750
Hg2 0.000 0.667 0.250
Hg3 0.333 0.000 0.750
Hg4 0.333 0.333 0.250
Hg5 0.667 0.000 0.250
Hg6 0.667 0.667 0.750

Summary:
formation energy from the elements	-0.32	eV/atom
symmetry	No. 193


## CoBiB3 (PBE-GGA)

Data for a geometry-optimized CoBiB3 structure.

Unit cell a=4.672 b=4.672 c=4.672 alpha=90.00 beta=90.00 gamma=90.00
Fractional coordinates of all 5 atoms:
Co1 0.000 0.000 0.000
Bi1 0.500 0.500 0.500
B1 0.000 0.500 0.500
B2 0.500 0.000 0.500
B3 0.500 0.500 0.000

Summary:
formation energy from the elements	2.93	eV/atom
ΔE to the lowest computed polymorph	1824	meV/atom
symmetry	No. 221


## LaNi2Os (PBE-GGA)

Data for a geometry-optimized LaNi2Os structure.

Unit cell a=8.927 b=8.927 c=8.927 alpha=151.15 beta=151.15 gamma=41.26
Fractional coordinates of all 8 atoms:
La1 0.000 0.000 0.000
La2 0.750 0.250 0.500
Ni1 0.317 0.625 0.192
Ni2 0.375 0.567 0.692
Ni3 0.433 0.125 0.808
Ni4 0.875 0.683 0.308
Os1 0.250 0.750 0.500
Os2 0.500 0.500 0.000

Summary:
formation energy from the elements	0.26	eV/atom
ΔE to the lowest computed polymorph	396	meV/atom
symmetry	No. 122


## AcNdTl3 (PBE-GGA)

Data for a geometry-optimized AcNdTl3 structure.

Unit cell a=8.863 b=8.863 c=8.721 alpha=90.32 beta=90.32 gamma=81.41
Fractional coordinates of all 20 atoms:
Ac1 0.117 0.883 0.750
Ac2 0.371 0.629 0.250
Ac3 0.629 0.371 0.750
Ac4 0.883 0.117 0.250
Nd1 0.170 0.339 0.924
Nd2 0.339 0.170 0.424
Nd3 0.661 0.830 0.576
Nd4 0.830 0.661 0.076
Tl1 0.007 0.763 0.402
Tl2 0.074 0.422 0.274
Tl3 0.237 0.993 0.098
Tl4 0.273 0.517 0.605
Tl5 0.422 0.074 0.774
Tl6 0.483 0.727 0.895
Tl7 0.517 0.273 0.105
Tl8 0.578 0.926 0.226
Tl9 0.727 0.483 0.395
Tl10 0.763 0.007 0.902
Tl11 0.926 0.578 0.726
Tl12 0.993 0.237 0.598

Summary:
formation energy from the elements	-0.24	eV/atom
symmetry	No. 15


## RbSr3Cu (PBE-GGA)

Data for a geometry-optimized RbSr3Cu structure.

Unit cell a=7.452 b=7.452 c=7.452 alpha=90.00 beta=90.00 gamma=90.00
Fractional coordinates of all 5 atoms:
Rb1 0.000 0.000 0.000
Sr1 0.000 0.000 0.500
Sr2 0.000 0.500 0.000
Sr3 0.500 0.000 0.000
Cu1 0.500 0.500 0.500

Summary:
formation energy from the elements	1.19	eV/atom
ΔE to the lowest computed polymorph	1146	meV/atom
symmetry	No. 221


## TlPd14Rh (PBE-GGA)

Data for a geometry-optimized TlPd14Rh structure.

Unit cell a=9.209 b=5.602 c=5.602 alpha=60.40 beta=90.00 gamma=90.00
Fractional coordinates of all 16 atoms:
Tl1 0.000 0.000 0.000
Pd1 0.000 0.000 0.501
Pd2 0.000 0.501 0.000
Pd3 0.249 0.333 0.333
Pd4 0.251 0.335 0.829
Pd5 0.251 0.829 0.335
Pd6 0.254 0.831 0.831
Pd7 0.500 0.164 0.164
Pd8 0.500 0.164 0.662
Pd9 0.500 0.662 0.164
Pd10 0.500 0.663 0.663
Pd11 0.746 0.831 0.831
Pd12 0.749 0.335 0.829
Pd13 0.749 0.829 0.335
Pd14 0.751 0.333 0.333
Rh1 0.000 0.499 0.499

Summary:
formation energy from the elements	0.00	eV/atom
symmetry	No. 38


## InSbCl (PBE-GGA)

Data for a geometry-optimized InSbCl structure.

Unit cell a=7.752 b=7.752 c=7.752 alpha=155.07 beta=155.07 gamma=35.54
Fractional coordinates of all 3 atoms:
In1 0.000 0.000 0.000
Sb1 0.663 0.663 0.000
Cl1 0.381 0.381 0.000

Summary:
ΔE to the lowest computed polymorph	235	meV/atom
symmetry	No. 107
E_form (uncorrected)	-0.548	eV/f.u.


## YMnNb2Re (PBE-GGA)

Data for a geometry-optimized YMnNb2Re structure.

Unit cell a=4.652 b=4.652 c=4.637 alpha=90.00 beta=90.00 gamma=90.00
Fractional coordinates of all 5 atoms:
Y1 0.000 0.000 0.000
Mn1 0.500 0.500 0.500
Nb1 0.000 0.500 0.500
Nb2 0.500 0.000 0.500
Re1 0.500 0.500 0.000

Summary:
formation energy from the elements	0.58	eV/atom
symmetry	No. 123


What did the seventh record say?
## LaNi2Os (PBE-GGA)

Data for a geometry-optimized LaNi2Os structure.

Unit cell a=8.927 b=8.927 c=8.927 alpha=151.15 beta=151.15 gamma=41.26
Fractional coordinates of all 8 atoms:
La1 0.000 0.000 0.000
La2 0.750 0.250 0.500
Ni1 0.317 0.625 0.192
Ni2 0.375 0.567 0.692
Ni3 0.433 0.125 0.808
Ni4 0.875 0.683 0.308
Os1 0.250 0.750 0.500
Os2 0.500 0.500 0.000

Summary:
formation energy from the elements	0.26	eV/atom
ΔE to the lowest computed polymorph	396	meV/atom
symmetry	No. 122